No. 1
Below is a PBEsol-optimized structure of MoRu2Pt, with properties calculated at the meta-GGA SCAN level.

Properties
* Fermi-level density of states: 0.938 states/eV/atom
* energy above the most stable polymorph in this dataset: 160.7 meV/atom
* calculated density: 14.445 g/cm3
* energy relative to the elements: -50 meV per atom

a = 2.697 Å, b = 4.689 Å, c = 4.751 Å
α = 99.47°, β = 90.00°, γ = 106.71°
Element x y z (fractional)
Mo 0.000 0.000 0.500
Pt 0.500 0.000 0.000
Ru 0.747 0.494 0.740
Ru 0.253 0.506 0.260



No. 2
Below is a PBEsol-optimized structure of MoRu2Pt, with properties calculated at the meta-GGA SCAN level.

Properties
* Fermi-level density of states: 0.704 states/eV/atom
* energy above the most stable polymorph in this dataset: 51.9 meV/atom
* calculated density: 14.526 g/cm3
* energy relative to the elements: -159 meV per atom

a = 3.824 Å, b = 3.824 Å, c = 4.709 Å
α = 113.96°, β = 113.96°, γ = 90.00°
Element x y z (fractional)
Ru 0.500 0.500 0.000
Ru 0.750 0.250 0.500
Mo 0.000 0.000 0.000
Pt 0.250 0.750 0.500



No. 3
Below is a PBEsol-optimized structure of MoRu2Pt, with properties calculated at the meta-GGA SCAN level.

Properties
* Fermi-level density of states: 0.803 states/eV/atom
* energy above the most stable polymorph in this dataset: 93.7 meV/atom
* calculated density: 14.497 g/cm3
* energy relative to the elements: -117 meV per atom

a = 3.879 Å, b = 3.879 Å, c = 4.650 Å
α = 114.65°, β = 114.65°, γ = 90.00°
Element x y z (fractional)
Ru 0.750 0.250 0.500
Ru 0.250 0.750 0.500
Mo 0.500 0.500 0.000
Pt 0.000 0.000 0.000



No. 4
Below is a PBEsol-optimized structure of Mo3PtS, with properties calculated at the meta-GGA SCAN level.

Properties
* energy relative to the elements, uncorrected: 0.526 eV per atom
* Fermi-level density of states: 1.185 states/eV/atom
* calculated density: 10.582 g/cm3

a = 4.323 Å, b = 4.323 Å, c = 4.323 Å
α = 90.00°, β = 90.00°, γ = 90.00°
Element x y z (fractional)
Mo 0.000 0.500 0.000
Mo 0.000 0.000 0.500
Mo 0.500 0.000 0.000
S 0.000 0.000 0.000
Pt 0.500 0.500 0.500



Final energy for every record listed, in sequence, given in eV/atom: -43.733, -43.842, -43.800, -36.369.